Here is a relaxed Ag crystal from OQMD. Energies are from PBE-GGA.

The calculation puts the formation energy at 133 meV per atom. The value obtained for the distance to the lowest polymorph of the same formula is 132.7 meV per atom. For the total DFT energy (no corrections), the calculation gives -2.692 eV per atom.

It has space group R-3m (No. 166, hexagonal axes), with a = 2.8778 Å, b = 2.8778 Å, c = 54.4908 Å, α = 90.00°, β = 90.00° and γ = 120.00°. The inequivalent atoms are Ag at (0.0000, 0.0000, 0.0000), Ag at (0.0000, 0.0000, 0.2448) and Ag at (0.0000, 0.0000, 0.3775).



Here is a relaxed Ag crystal from OQMD. Energies are from PBE-GGA.

The calculation puts the formation energy at 2 meV per atom. The value obtained for the distance to the lowest polymorph of the same formula is 2.1 meV per atom. For the total DFT energy (no corrections), the calculation gives -2.822 eV per atom.

It has space group Immm (No. 71), with a = 2.889 Å, b = 2.940 Å, c = 4.117 Å, α = 90.00°, β = 90.00° and γ = 90.00°. The inequivalent atoms are Ag at (0.000, 0.000, 0.000).



Here is a relaxed Ag crystal from OQMD. Energies are from PBE-GGA.

The calculation puts the formation energy at 4 meV per atom. The value obtained for the distance to the lowest polymorph of the same formula is 4.2 meV per atom. For the total DFT energy (no corrections), the calculation gives -2.820 eV per atom.

It has space group Fm-3m (No. 225), with a = 4.110 Å, b = 4.110 Å, c = 4.110 Å, α = 90.00°, β = 90.00° and γ = 90.00°. The inequivalent atoms are Ag at (0.000, 0.000, 0.000).



Here is a relaxed Ag crystal from OQMD. Energies are from PBE-GGA.

The calculation puts the formation energy at 67 meV per atom. The value obtained for the distance to the lowest polymorph of the same formula is 67.2 meV per atom. For the total DFT energy (no corrections), the calculation gives -2.757 eV per atom.

It has space group I-43m (No. 217), with a = 10.100 Å, b = 10.100 Å, c = 10.100 Å, α = 90.00°, β = 90.00° and γ = 90.00°. The inequivalent atoms are Ag at (0.000, 0.000, 0.000), Ag at (0.050, 0.362, 0.638), Ag at (0.094, 0.094, 0.715) and Ag at (0.173, 0.173, 0.173).